No. 1
Entry from the Alexandria database: crystalline LaThS2N at its relaxed geometry (PBE).

Output
total energy	-7.7728	eV per atom
formation energy from raw total energies	-959	kJ/mol of formula units
volume	23.96	Å³ per atom
size of the total moment	0.00	Bohr magnetons per cell

abc: 4.068 4.068 14.479
angles: 90.00 90.00 90.00
Sites, in units of the cell vectors:
S 0.500 0.000 0.309
S 0.000 0.500 0.090
S 0.000 0.500 0.691
S 0.500 0.000 0.910
Th 0.000 0.500 0.418
N 0.500 0.500 0.500
La 0.500 0.000 0.125
Th 0.500 0.000 0.582
La 0.000 0.500 0.875
N 0.000 0.000 0.500

***

No. 2
Entry from the Alexandria database: crystalline Tb6Dy3Y2In at its relaxed geometry (PBE).

Output
total energy	-4.8141	eV per atom
formation energy from the elements	-0.043	eV/atom
volume	30.87	Å³ per atom
size of the total moment	0.00	Bohr magnetons per cell

abc: 6.102 6.102 11.675
angles: 95.01 95.01 120.04
Sites, in units of the cell vectors:
Dy 0.167 0.833 0.500
Dy 0.833 0.167 0.500
Tb 0.410 0.082 0.248
Tb 0.755 0.755 0.249
Tb 0.245 0.245 0.751
Y 0.334 0.666 0.000
Tb 0.082 0.410 0.248
Dy 0.500 0.500 0.500
Tb 0.918 0.590 0.752
In 0.000 0.000 0.000
Y 0.666 0.334 0.000
Tb 0.590 0.918 0.752

***

No. 3
Entry from the Alexandria database: crystalline Sm2DySi2 at its relaxed geometry (PBE).

Output
total energy	-5.6738	eV per atom
relative energy among the computed polymorphs	0	meV per atom
formation energy from raw total energies	-336	kJ/mol of formula units
volume	24.78	Å³ per atom
size of the total moment	0.00	Bohr magnetons per cell

abc: 4.321 7.572 7.572
angles: 90.00 90.00 90.00
Sites, in units of the cell vectors:
Sm 0.500 0.823 0.323
Si 0.000 0.615 0.115
Sm 0.500 0.177 0.677
Si 0.000 0.885 0.615
Sm 0.500 0.323 0.177
Si 0.000 0.385 0.885
Si 0.000 0.115 0.385
Dy 0.000 0.000 0.000
Dy 0.000 0.500 0.500
Sm 0.500 0.677 0.823

***

No. 4
Entry from the Alexandria database: crystalline LiAc2Cd at its relaxed geometry (PBE).

Output
total energy	-2.4759	eV per atom
relative energy among the computed polymorphs	415	meV per atom
formation energy from the elements	0.286	eV/atom
volume	38.27	Å³ per atom
size of the total moment	0.00	Bohr magnetons per cell

abc: 3.752 3.752 12.739
angles: 81.53 81.53 60.00
Sites, in units of the cell vectors:
Ac 0.908 0.908 0.276
Ac 0.092 0.092 0.724
Cd 0.000 0.000 0.000
Li 0.500 0.500 0.500

***

Question: The highest volume belongs to which entry?
Answer: LiAc2Cd

***

Question: What is the volume in the first record?
Answer: 23.96 Å³ per atom

***

Question: Look up the volume of the first one.
Answer: 23.96 Å³ per atom